VZnP2O8 | GGA+U | relaxed

Calculated values
**Symmetry**: No. 119
**Raw total energy**: -6.84 eV/atom
**Magnetic moment**: 0.99 μB per formula unit

Unit cell a=5.423 b=5.423 c=5.423 alpha=106.17 beta=106.17 gamma=116.30
Element x y z (fractional)
V1 0.000 0.000 0.000
Zn1 0.250 0.750 0.500
P1 0.500 0.500 0.000
P2 0.750 0.250 0.500
O1 0.318 0.141 0.823
O2 0.318 0.494 0.177
O3 0.395 0.081 0.313
O4 0.506 0.682 0.823
O5 0.768 0.081 0.687
O6 0.859 0.682 0.177
O7 0.919 0.232 0.313
O8 0.919 0.605 0.687